# MnIrPdO6 PBE+U optimized geometry
# E_tot   -6.448 eV/atom
# Crystal system   trigonal
data_MnIrPdO6
_cell_length_a 5.1646
_cell_length_b 5.1646
_cell_length_c 9.0079
_cell_angle_alpha 90.00
_cell_angle_beta 90.00
_cell_angle_gamma 120.00
_space_group_name_H-M_alt 'P -3 1 c'
_space_group_IT_number 163
_space_group_name_Hall '-P 3 2c'
loop_
_atom_site_label
_atom_site_type_symbol
_atom_site_fract_x
_atom_site_fract_y
_atom_site_fract_z
Mn1 Mn 0.0000 0.0000 0.0000
Ir1 Ir 0.3333 0.6667 0.2500
Pd1 Pd 0.3333 0.6667 0.7500
O1 O 0.0101 0.3571 0.1300